(1)
DFT (PBE) results for an optimized crystal structure of MoPbSe.

Geometry as POSCAR:
```
MoPbSe
1.0
3.243 0.000 0.000
-1.622 2.809 0.000
0.000 0.000 8.078
Se Mo Pb
1 1 1
Cartesian
0.000 1.872 6.140
0.000 0.000 7.806
1.622 0.936 2.210
```

energy: -18.13 eV for the cell shown
D(E_F): 0.6727 states/eV per atom
ρ: 8.62 g cm⁻³
calculated volume: 24.5 Å³/atom

---

(2)
DFT (PBE) results for an optimized crystal structure of ScMn2Be.

Geometry as POSCAR:
```
ScMn2Be
1.0
8.123 0.018 0.011
7.609 2.844 0.011
7.609 1.384 2.484
Be Mn Sc
1 2 1
Cartesian
17.506 3.185 1.879
11.368 2.068 1.220
0.303 0.055 0.033
5.835 1.062 0.626
```

energy: -26.92 eV for the cell shown
D(E_F): 1.0432 states/eV per atom
formation energy: 0.37 eV/atom
ρ: 4.79 g cm⁻³
calculated volume: 14.2 Å³/atom

---

(3)
DFT (PBE) results for an optimized crystal structure of Cd3PbO4.

Geometry as POSCAR:
```
Cd3PbO4
1.0
3.469 0.000 0.000
0.000 6.005 0.218
0.000 -2.204 5.590
Cd Pb O
3 1 4
Cartesian
1.735 1.901 2.904
0.000 3.003 0.109
0.000 -1.102 2.795
1.735 0.000 0.000
1.735 3.893 1.600
0.000 1.014 1.549
1.735 -0.092 4.208
0.000 2.787 4.259
```

energy: -33.98 eV for the cell shown
D(E_F): 0.0444 states/eV per atom
ρ: 8.55 g cm⁻³
calculated volume: 14.8 Å³/atom

---

(4)
DFT (PBE) results for an optimized crystal structure of Pm2Sm2Th3.

Geometry as POSCAR:
```
Pm2Sm2Th3
1.0
-2.714 -1.879 1.324
0.456 -2.449 -2.541
13.156 -8.319 10.381
Th Pm Sm
3 2 2
Cartesian
0.000 0.000 0.000
10.432 -9.232 8.280
0.465 -3.415 0.884
7.104 -6.620 5.165
3.794 -6.027 3.999
3.233 -2.537 3.026
7.209 -7.661 8.679
```

energy: -40.62 eV for the cell shown
D(E_F): 1.6069 states/eV per atom
formation energy: 0.08 eV/atom
ρ: 9.07 g cm⁻³
calculated volume: 33.7 Å³/atom

---

(5)
DFT (PBE) results for an optimized crystal structure of NaCd2Os.

Geometry as POSCAR:
```
NaCd2Os
1.0
-2.372 -1.661 -3.284
-1.680 -2.988 2.724
-9.093 3.581 1.839
Cd Os Na
4 2 2
Cartesian
-8.280 1.047 1.073
-10.425 -1.487 0.985
-4.050 -0.575 -1.368
-3.536 -1.122 1.867
0.000 0.000 0.000
-6.746 -0.202 -0.863
-6.400 -0.866 2.142
-2.026 -2.324 -0.280
```

energy: -21.03 eV for the cell shown
D(E_F): 0.9328 states/eV per atom
formation energy: 0.97 eV/atom
ρ: 8.03 g cm⁻³
calculated volume: 22.6 Å³/atom

---

(6)
DFT (PBE) results for an optimized crystal structure of CoRe2Br.

Geometry as POSCAR:
```
CoRe2Br
1.0
2.609 0.037 0.000
-0.656 2.525 0.000
0.000 0.000 12.518
Re Co Br
2 1 1
Cartesian
0.000 0.000 11.308
0.000 0.000 7.468
0.976 1.281 9.388
0.976 1.281 3.129
```

energy: -29.97 eV for the cell shown
D(E_F): 0.9166 states/eV per atom
ρ: 10.26 g cm⁻³
calculated volume: 20.7 Å³/atom

---

(7)
DFT (PBE) results for an optimized crystal structure of BaSiSe4.

Geometry as POSCAR:
```
BaSiSe4
1.0
0.000 4.214 4.214
4.214 0.000 4.214
4.214 4.214 0.000
Se Si Ba
4 1 1
Cartesian
3.170 3.170 3.170
5.258 5.258 3.170
5.258 3.170 5.258
3.170 5.258 5.258
6.321 6.321 6.321
0.000 0.000 0.000
```

energy: -20.91 eV for the cell shown
D(E_F): 0.7577 states/eV per atom
ρ: 5.34 g cm⁻³
calculated volume: 24.9 Å³/atom

---

(8)
DFT (PBE) results for an optimized crystal structure of RbBi.

Geometry as POSCAR:
```
RbBi
1.0
-1.963 -0.120 -10.445
2.638 -10.289 -0.377
-10.107 -2.662 1.930
Rb Bi
6 6
Cartesian
-0.322 -2.632 -5.317
-6.526 -1.421 -6.869
-1.208 -5.810 0.294
-5.544 -1.361 -1.646
0.997 -7.777 -5.506
-6.262 -7.141 1.259
0.828 -5.175 -2.800
-0.153 -5.235 -8.023
-3.508 -0.726 -4.740
-4.394 -3.903 0.871
-8.562 -2.056 -3.775
-3.075 -9.048 0.682
```

energy: -23.29 eV for the cell shown
D(E_F): 0.9334 states/eV per atom
formation energy: 0.48 eV/atom
ρ: 2.44 g cm⁻³
calculated volume: 100.1 Å³/atom

---

(9)
DFT (PBE) results for an optimized crystal structure of Cs4Ce3ErSe8.

Geometry as POSCAR:
```
Cs4Ce3ErSe8
1.0
-7.175 -3.311 3.829
-1.602 -5.613 -7.854
7.828 -0.811 3.898
Er Se Ce Cs
1 8 3 4
Cartesian
-0.801 -2.807 -3.927
4.827 -5.378 -0.782
-2.741 -6.665 -0.831
1.792 -3.070 0.704
-2.086 -2.655 -1.314
-1.751 -4.774 2.659
-5.776 -4.357 0.655
0.802 -4.961 -2.787
1.137 -7.080 1.187
-4.389 -4.462 -2.012
3.113 -3.212 -1.978
-0.475 -4.867 -0.064
0.000 0.000 0.000
3.914 -0.405 1.949
0.326 -2.061 3.864
-3.588 -1.655 1.915
```

energy: -80.43 eV for the cell shown
D(E_F): 1.1378 states/eV per atom
ρ: 5.20 g cm⁻³
calculated volume: 34.9 Å³/atom

---

(10)
DFT (PBE) results for an optimized crystal structure of CeGdY2.

Geometry as POSCAR:
```
CeGdY2
1.0
-1.397 -1.312 -5.365
3.049 -3.859 -2.875
-2.251 -5.096 -1.192
Y Gd Ce
2 1 1
Cartesian
-0.150 -2.567 -2.358
-0.449 -7.700 -7.074
-0.299 -5.133 -4.716
0.000 0.000 0.000
```

energy: -32.29 eV for the cell shown
D(E_F): 2.6654 states/eV per atom
formation energy: 0.16 eV/atom
ρ: 6.04 g cm⁻³
calculated volume: 32.7 Å³/atom

---

(11)
DFT (PBE) results for an optimized crystal structure of BaZn2BI.

Geometry as POSCAR:
```
BaZn2BI
1.0
4.505 0.000 0.000
0.000 6.517 0.000
0.000 0.000 4.505
Ba B I Zn
1 1 1 2
Cartesian
0.000 3.259 0.000
0.000 0.000 0.000
2.253 3.259 2.253
2.253 0.000 0.000
0.000 0.000 2.253
```

energy: -13.14 eV for the cell shown
D(E_F): 0.4683 states/eV per atom
ρ: 5.10 g cm⁻³
calculated volume: 26.5 Å³/atom

---

(12)
DFT (PBE) results for an optimized crystal structure of Er2Sc4Si3H2.

Geometry as POSCAR:
```
Er2Sc4Si3H2
1.0
-0.559 -2.543 -3.364
3.572 1.519 -1.741
4.344 -7.457 7.606
Sc Er Si H
4 2 3 2
Cartesian
2.704 -0.490 -0.078
4.654 -7.992 2.579
6.720 -5.961 3.391
0.638 -2.521 -0.890
3.833 -3.681 -0.543
3.525 -4.801 3.044
5.392 -5.805 0.803
0.000 0.000 0.000
1.966 -2.677 1.698
2.622 -2.032 -1.589
4.736 -6.450 4.090
```

energy: -64.24 eV for the cell shown
D(E_F): 0.8182 states/eV per atom
ρ: 4.96 g cm⁻³
calculated volume: 18.3 Å³/atom